{"formula": "Pm2Dy4Te3N2", "functional": "PBE", "state": "optimized geometry", "e_form_raw_ev_per_atom": -1.190, "final_energy_ev_per_atom": -6.097, "lattice_angstrom": [[-2.2989, 2.2989, 12.9360], [2.2989, -2.2989, 12.9360], [2.2989, 2.2989, -12.9360]], "species": ["Pm", "Pm", "Dy", "Dy", "Dy", "Dy", "Te", "Te", "Te", "N", "N"], "fractional_positions": [[0.1962, 0.1962, 0.0000], [0.8038, 0.8038, 0.0000], [0.0856, 0.5856, 0.5000], [0.4144, 0.9144, 0.5000], [0.5856, 0.0856, 0.5000], [0.9144, 0.4144, 0.5000], [0.3239, 0.3239, 0.0000], [0.5000, 0.5000, 0.0000], [0.6761, 0.6761, 0.0000], [0.1020, 0.1020, 0.0000], [0.8980, 0.8980, 0.0000]]}